# SrPb3N, relaxed, DFT PBE
# Offset from the most stable computed form: 0.000 eV/f.u.
# Space-group type: Pm-3m, No. 221
# Energy relative to the elements, uncorrected: 0.2877 eV per atom
# Total magnetic moment: 0.36 μB per formula unit
data_SrPb3N
_space_group_name_H-M_alt 'P 1'
_space_group_IT_number 1
_space_group_name_Hall 'P 1'
_cell_length_a 5.187
_cell_length_b 5.187
_cell_length_c 5.187
_cell_angle_alpha 90.00
_cell_angle_beta 90.00
_cell_angle_gamma 90.00
loop_
_atom_site_label
_atom_site_type_symbol
_atom_site_fract_x
_atom_site_fract_y
_atom_site_fract_z
Pb1 Pb 0.500 0.000 0.000
Pb2 Pb 0.000 0.000 0.500
Pb3 Pb 0.000 0.500 0.000
Sr1 Sr 0.500 0.500 0.500
N1 N 0.000 0.000 0.000



# Ba3Sb, relaxed, DFT PBE
# Offset from the most stable computed form: 0.537 eV/f.u.
# Space-group type: P-6m2, No. 187
# Energy relative to the elements, uncorrected: -0.4704 eV per atom
# Total magnetic moment: 1.05 μB per formula unit
data_Ba3Sb
_space_group_name_H-M_alt 'P 1'
_space_group_IT_number 1
_space_group_name_Hall 'P 1'
_cell_length_a 4.869
_cell_length_b 4.869
_cell_length_c 11.824
_cell_angle_alpha 90.00
_cell_angle_beta 90.00
_cell_angle_gamma 120.00
loop_
_atom_site_label
_atom_site_type_symbol
_atom_site_fract_x
_atom_site_fract_y
_atom_site_fract_z
Ba1 Ba 0.000 0.000 0.917
Sb1 Sb 0.667 0.333 0.750
Ba2 Ba 0.000 0.000 0.583
Ba3 Ba 0.667 0.333 0.250



# ZrGe2S, relaxed, DFT PBE
# Space-group type: I-42d, No. 122
# Energy relative to the elements, uncorrected: -0.0484 eV per atom
# Total magnetic moment: 0.00 μB per formula unit
data_ZrGe2S
_space_group_name_H-M_alt 'P 1'
_space_group_IT_number 1
_space_group_name_Hall 'P 1'
_cell_length_a 7.539
_cell_length_b 7.539
_cell_length_c 5.971
_cell_angle_alpha 50.85
_cell_angle_beta 50.85
_cell_angle_gamma 90.00
loop_
_atom_site_label
_atom_site_type_symbol
_atom_site_fract_x
_atom_site_fract_y
_atom_site_fract_z
Ge1 Ge 0.609 0.125 0.250
Ge2 Ge 0.375 0.391 0.750
Zr1 Zr 0.000 0.000 0.000
Ge3 Ge 0.141 0.625 0.250
S1 S 0.500 0.500 0.000
Ge4 Ge 0.875 0.859 0.750
S2 S 0.250 0.750 0.500
Zr2 Zr 0.750 0.250 0.500



# Tb2Sm2Sb3, relaxed, DFT PBE
# Offset from the most stable computed form: 1.005 eV/f.u.
# Space-group type: C2/m, No. 12
# Energy relative to the elements, uncorrected: -0.8837 eV per atom
# Total magnetic moment: 0.00 μB per formula unit
data_Tb2Sm2Sb3
_space_group_name_H-M_alt 'P 1'
_space_group_IT_number 1
_space_group_name_Hall 'P 1'
_cell_length_a 4.376
_cell_length_b 7.474
_cell_length_c 7.509
_cell_angle_alpha 98.49
_cell_angle_beta 90.01
_cell_angle_gamma 107.06
loop_
_atom_site_label
_atom_site_type_symbol
_atom_site_fract_x
_atom_site_fract_y
_atom_site_fract_z
Tb1 Tb 0.375 0.750 0.126
Sb1 Sb 0.745 0.492 0.249
Sm1 Sm 0.880 0.758 0.617
Sm2 Sm 0.120 0.242 0.383
Sb2 Sb 0.000 0.000 0.000
Tb2 Tb 0.625 0.250 0.874
Sb3 Sb 0.255 0.508 0.751



# Pm6Si2TeI3, relaxed, DFT PBE
# Space-group type: C2/m, No. 12
# Energy relative to the elements, uncorrected: -1.0224 eV per atom
# Total magnetic moment: 0.00 μB per formula unit
data_Pm6Si2TeI3
_space_group_name_H-M_alt 'P 1'
_space_group_IT_number 1
_space_group_name_Hall 'P 1'
_cell_length_a 4.356
_cell_length_b 9.147
_cell_length_c 10.112
_cell_angle_alpha 105.65
_cell_angle_beta 102.44
_cell_angle_gamma 90.00
loop_
_atom_site_label
_atom_site_type_symbol
_atom_site_fract_x
_atom_site_fract_y
_atom_site_fract_z
Te1 Te 0.500 0.000 0.000
I1 I 0.500 0.500 0.000
Pm1 Pm 0.978 0.754 0.956
Pm2 Pm 0.334 0.866 0.668
Si1 Si 0.830 0.660 0.661
Si2 Si 0.170 0.340 0.339
Pm3 Pm 0.666 0.134 0.332
Pm4 Pm 0.321 0.444 0.642
Pm5 Pm 0.022 0.246 0.044
Pm6 Pm 0.679 0.556 0.358
I2 I 0.836 0.165 0.672
I3 I 0.164 0.835 0.328



# Pm3Si2GeIr9, relaxed, DFT PBE
# Space-group type: P-3m1, No. 164
# Energy relative to the elements, uncorrected: -0.2672 eV per atom
# Total magnetic moment: 0.00 μB per formula unit
data_Pm3Si2GeIr9
_space_group_name_H-M_alt 'P 1'
_space_group_IT_number 1
_space_group_name_Hall 'P 1'
_cell_length_a 6.236
_cell_length_b 6.236
_cell_length_c 8.846
_cell_angle_alpha 90.00
_cell_angle_beta 90.00
_cell_angle_gamma 120.00
loop_
_atom_site_label
_atom_site_type_symbol
_atom_site_fract_x
_atom_site_fract_y
_atom_site_fract_z
Ir1 Ir 0.857 0.143 0.722
Ir2 Ir 0.000 0.500 0.000
Pm1 Pm 0.667 0.333 0.305
Pm2 Pm 0.000 0.000 0.000
Pm3 Pm 0.333 0.667 0.695
Ge1 Ge 0.000 0.000 0.500
Ir3 Ir 0.500 0.500 0.000
Ir4 Ir 0.714 0.857 0.278
Ir5 Ir 0.500 0.000 0.000
Si1 Si 0.667 0.333 0.827
Ir6 Ir 0.143 0.857 0.278
Si2 Si 0.333 0.667 0.173
Ir7 Ir 0.286 0.143 0.722
Ir8 Ir 0.143 0.286 0.278
Ir9 Ir 0.857 0.714 0.722



# CaYTh2, relaxed, DFT PBE
# Formation energy: 130.2 meV per atom
# Offset from the most stable computed form: 0.000 eV/f.u.
# Space-group type: R3m, No. 160
# Total magnetic moment: 0.00 μB per formula unit
data_CaYTh2
_space_group_name_H-M_alt 'P 1'
_space_group_IT_number 1
_space_group_name_Hall 'P 1'
_cell_length_a 3.571
_cell_length_b 3.571
_cell_length_c 12.366
_cell_angle_alpha 81.70
_cell_angle_beta 81.70
_cell_angle_gamma 60.00
loop_
_atom_site_label
_atom_site_type_symbol
_atom_site_fract_x
_atom_site_fract_y
_atom_site_fract_z
Y1 Y 0.668 0.668 0.997
Th1 Th 0.080 0.080 0.760
Ca1 Ca 0.499 0.499 0.504
Th2 Th 0.254 0.254 0.239



# AcSnH, relaxed, DFT PBE
# Offset from the most stable computed form: 0.616 eV/f.u.
# Space-group type: P4/nmm, No. 129
# Total magnetic moment: 0.00 μB per formula unit
data_AcSnH
_space_group_name_H-M_alt 'P 1'
_space_group_IT_number 1
_space_group_name_Hall 'P 1'
_cell_length_a 4.148
_cell_length_b 4.149
_cell_length_c 8.570
_cell_angle_alpha 89.99
_cell_angle_beta 89.99
_cell_angle_gamma 90.00
loop_
_atom_site_label
_atom_site_type_symbol
_atom_site_fract_x
_atom_site_fract_y
_atom_site_fract_z
H1 H 0.481 0.993 0.879
Ac1 Ac 0.480 0.493 0.704
Sn1 Sn 0.981 0.993 0.448
Ac2 Ac 0.981 0.993 0.054
H2 H 0.980 0.493 0.879
Sn2 Sn 0.481 0.493 0.310



# PmPr2Nd6Tm, relaxed, DFT PBE
# Formation energy: 111.7 meV per atom
# Space-group type: C2/c, No. 15
# Total magnetic moment: 0.00 μB per formula unit
data_PmPr2Nd6Tm
_space_group_name_H-M_alt 'P 1'
_space_group_IT_number 1
_space_group_name_Hall 'P 1'
_cell_length_a 9.919
_cell_length_b 8.997
_cell_length_c 8.997
_cell_angle_alpha 117.86
_cell_angle_beta 94.39
_cell_angle_gamma 94.39
loop_
_atom_site_label
_atom_site_type_symbol
_atom_site_fract_x
_atom_site_fract_y
_atom_site_fract_z
Pr1 Pr 0.957 0.704 0.803
Nd1 Nd 0.690 0.013 0.572
Pm1 Pm 0.750 0.018 0.982
Nd2 Nd 0.810 0.428 0.987
Nd3 Nd 0.190 0.572 0.013
Pm2 Pm 0.250 0.982 0.018
Nd4 Nd 0.619 0.495 0.705
Nd5 Nd 0.055 0.121 0.748
Nd6 Nd 0.881 0.295 0.505
Tm1 Tm 0.250 0.409 0.591
Nd7 Nd 0.945 0.879 0.252
Pr2 Pr 0.043 0.296 0.197
Nd8 Nd 0.119 0.705 0.495
Pr3 Pr 0.457 0.803 0.704
Nd9 Nd 0.310 0.987 0.428
Pr4 Pr 0.543 0.197 0.296
Tm2 Tm 0.750 0.591 0.409
Nd10 Nd 0.555 0.748 0.121
Nd11 Nd 0.381 0.505 0.295
Nd12 Nd 0.445 0.252 0.879



# SmDy2HoN4, relaxed, DFT PBE
# Space-group type: P2/m, No. 10
# Energy relative to the elements, uncorrected: -1.6491 eV per atom
# Total magnetic moment: 0.00 μB per formula unit
data_SmDy2HoN4
_space_group_name_H-M_alt 'P 1'
_space_group_IT_number 1
_space_group_name_Hall 'P 1'
_cell_length_a 3.498
_cell_length_b 6.057
_cell_length_c 6.057
_cell_angle_alpha 109.44
_cell_angle_beta 90.00
_cell_angle_gamma 90.00
loop_
_atom_site_label
_atom_site_type_symbol
_atom_site_fract_x
_atom_site_fract_y
_atom_site_fract_z
N1 N 0.000 0.755 0.254
N2 N 0.500 0.247 0.251
Dy1 Dy 0.000 0.500 0.500
N3 N 0.000 0.245 0.746
N4 N 0.500 0.753 0.749
Dy2 Dy 0.500 0.000 0.500
Ho1 Ho 0.000 0.000 0.000
Sm1 Sm 0.500 0.500 0.000



# VAsRu, relaxed, DFT PBE
# Formation energy: -261.2 meV per atom
# Space-group type: Pm, No. 6
# Total magnetic moment: 0.00 μB per formula unit
data_VAsRu
_space_group_name_H-M_alt 'P 1'
_space_group_IT_number 1
_space_group_name_Hall 'P 1'
_cell_length_a 4.362
_cell_length_b 3.020
_cell_length_c 6.683
_cell_angle_alpha 90.00
_cell_angle_beta 104.18
_cell_angle_gamma 90.00
loop_
_atom_site_label
_atom_site_type_symbol
_atom_site_fract_x
_atom_site_fract_y
_atom_site_fract_z
As1 As 0.041 0.000 0.812
Ru1 Ru 0.546 0.500 0.803
As2 As 0.449 0.500 0.165
Ru2 Ru 0.938 0.500 0.504
V1 V 0.941 0.000 0.165
V2 V 0.420 0.000 0.471



# K2AlMo, relaxed, DFT PBE
# Formation energy: 1273.9 meV per atom
# Space-group type: P4/mmm, No. 123
# Total magnetic moment: 3.72 μB per formula unit
data_K2AlMo
_space_group_name_H-M_alt 'P 1'
_space_group_IT_number 1
_space_group_name_Hall 'P 1'
_cell_length_a 4.770
_cell_length_b 4.770
_cell_length_c 5.818
_cell_angle_alpha 90.00
_cell_angle_beta 90.00
_cell_angle_gamma 90.00
loop_
_atom_site_label
_atom_site_type_symbol
_atom_site_fract_x
_atom_site_fract_y
_atom_site_fract_z
Al1 Al 0.500 0.500 0.750
Mo1 Mo 0.500 0.500 0.250
K1 K 0.000 0.000 0.998
K2 K 0.000 0.000 0.502